An optimized crystal structure of HfBePb3. Source: Alexandria, functional PBE.

POSCAR file:
```
HfBePb3
1.0
5.648 0.000 0.000
0.000 5.648 0.000
0.000 0.000 5.648
Hf Be Pb
1 1 3
Direct
0.000 0.000 0.000 Hf
0.500 0.500 0.500 Be
0.000 0.000 0.500 Pb
0.000 0.500 0.000 Pb
0.500 0.000 0.000 Pb
```

Results
Magnetic moment   0.000 μB/f.u.
E_tot   -20.06 eV per cell
V   180 Å³ per cell